# 1
Pr2ZnCu4Si3: relaxed, PBE.

Geometry as POSCAR:
```
Pr2ZnCu4Si3
1.0
-0.9454 2.1091 -3.4437
-1.8947 -3.3551 -1.5346
-8.5407 2.9299 4.1391
Zn Si Pr Cu
1 3 2 4
Direct
0.5000 0.5000 0.5000
0.5000 0.0000 0.8708
0.0000 0.0000 0.5000
0.0000 0.5000 0.1292
0.0000 0.5000 0.7565
0.5000 0.0000 0.2435
0.0000 0.0000 0.0000
0.5000 0.5000 0.0000
0.5000 0.0000 0.6319
0.0000 0.5000 0.3681
```

As for the energy relative to the elements, uncorrected: -11.37 kcal/mol of atoms. For the spin magnetization, the calculation gives 0.00 μB/cell.


# 2
Pr3SmCu3: relaxed, PBE.

Geometry as POSCAR:
```
Pr3SmCu3
1.0
7.0856 1.2840 0.3939
-2.0071 6.9156 0.3939
-0.3843 -0.6204 7.0314
Cu Pr Sm
6 6 2
Direct
0.0563 0.0563 0.8308
0.9437 0.9437 0.1692
0.5009 0.0208 0.2997
0.4991 0.9792 0.7003
0.9792 0.4991 0.7003
0.0208 0.5009 0.2997
0.1728 0.8272 0.5000
0.8272 0.1728 0.5000
0.6542 0.6542 0.3749
0.3458 0.3458 0.6251
0.2612 0.7388 0.0000
0.7388 0.2612 0.0000
0.2543 0.2543 0.1294
0.7457 0.7457 0.8706
```

The calculation puts the formation enthalpy at 0 K at -0.049 eV per atom. For the spin magnetization, the calculation gives 0.00 μB/cell.


# 3
PrSm4Cu4: relaxed, PBE.

Geometry as POSCAR:
```
PrSm4Cu4
1.0
-1.1424 5.1366 -2.9669
4.1008 -3.2046 -7.1271
-7.6341 -3.3619 -2.8809
Cu Pr Sm
8 2 8
Direct
0.8705 0.7247 0.1351
0.6295 0.7753 0.3649
0.8705 0.2753 0.8649
0.1295 0.1351 0.2753
0.3705 0.6351 0.7753
0.1295 0.8649 0.7247
0.3705 0.3649 0.2247
0.6295 0.2247 0.6351
0.0000 0.0000 0.0000
0.5000 0.5000 0.5000
0.1008 0.8095 0.4112
0.6008 0.0888 0.3095
0.3992 0.3095 0.9112
0.1008 0.1905 0.5888
0.8992 0.5888 0.8095
0.6008 0.9112 0.6905
0.8992 0.4112 0.1905
0.3992 0.6905 0.0888
```

The calculation puts the formation enthalpy at 0 K at 0.000 eV per atom. For the spin magnetization, the calculation gives 0.00 μB/cell.


# 4
PrSm2Cu6: relaxed, PBE.

Geometry as POSCAR:
```
PrSm2Cu6
1.0
3.7302 0.0000 0.0000
0.0000 6.4125 -3.7023
0.0000 0.0000 7.4046
Cu Sm Pr
6 2 1
Direct
0.5000 0.0000 0.3348
0.5000 0.6652 0.6652
0.5000 0.0000 0.6652
0.5000 0.3348 0.3348
0.5000 0.6652 0.0000
0.5000 0.3348 0.0000
0.0000 0.3333 0.6667
0.0000 0.6667 0.3333
0.0000 0.0000 0.0000
```

The calculation puts the formation enthalpy at 0 K at -0.224 eV per atom. For the spin magnetization, the calculation gives 0.00 μB/cell.


# 5
PrSm2Cu9: relaxed, PBE.

Geometry as POSCAR:
```
PrSm2Cu9
1.0
-2.0992 -4.6603 -1.2346
0.5315 -4.0750 3.2805
-7.6146 -0.7372 4.5322
Pr Cu Sm
1 9 2
Direct
0.0000 0.0000 0.0000
0.4205 0.4205 0.2447
0.3316 0.3316 0.0052
0.0856 0.5795 0.7553
0.9144 0.4205 0.2447
0.6684 0.6684 0.9948
0.4205 0.9144 0.2447
0.5795 0.5795 0.7553
0.5795 0.0856 0.7553
0.5000 0.5000 0.5000
0.8560 0.8560 0.4319
0.1440 0.1440 0.5681
```

The calculation puts the formation enthalpy at 0 K at -0.153 eV per atom. For the spin magnetization, the calculation gives 0.00 μB/cell.


# 6
PrSm2Cu: relaxed, PBE.

Geometry as POSCAR:
```
PrSm2Cu
1.0
-2.4407 -2.6398 0.7854
-1.1022 -2.3280 -2.6284
6.4226 -7.9707 1.7903
Sm Pr Cu
2 1 1
Direct
0.7336 0.7336 0.7993
0.2664 0.2664 0.2007
0.5000 0.5000 0.5000
0.0000 0.0000 0.0000
```

The calculation puts the formation enthalpy at 0 K at 0.047 eV per atom. The value obtained for the energy above the lowest structure with this stoichiometry is 119 meV/atom. For the spin magnetization, the calculation gives 0.00 μB/cell.